(1)
# PBE CaH2O2, relaxed
data_CaH2O2
_cell_length_a 5.387
_cell_length_b 5.387
_cell_length_c 6.376
_cell_angle_alpha 100.15
_cell_angle_beta 100.15
_cell_angle_gamma 142.27
_symmetry_space_group_name_H-M 'P 1'
_symmetry_Int_Tables_number 1
loop_
_symmetry_equiv_pos_as_xyz
'x,y,z'
loop_
_atom_site_label
_atom_site_fract_x
_atom_site_fract_y
_atom_site_fract_z
O1 0.745 0.755 0.250
O2 0.568 0.932 0.750
O3 0.432 0.068 0.250
O4 0.255 0.245 0.750
H1 0.402 0.536 0.750
H2 0.598 0.464 0.250
H3 0.036 0.902 0.250
H4 0.964 0.098 0.750
Ca1 0.921 0.579 0.750
Ca2 0.079 0.421 0.250
# crystal system	monoclinic
# energy relative to the lowest polymorph listed for this composition	218	meV per atom
# raw total energy	-5.408	eV per atom
# space group	C2/c, No. 15

=====

(2)
# PBE NdPaGa4, relaxed
data_NdPaGa4
_cell_length_a 4.121
_cell_length_b 4.245
_cell_length_c 7.376
_cell_angle_alpha 90.00
_cell_angle_beta 90.00
_cell_angle_gamma 90.00
_symmetry_space_group_name_H-M 'P 1'
_symmetry_Int_Tables_number 1
loop_
_symmetry_equiv_pos_as_xyz
'x,y,z'
loop_
_atom_site_label
_atom_site_fract_x
_atom_site_fract_y
_atom_site_fract_z
Ga1 0.499 0.497 0.329
Ga2 0.499 0.997 0.162
Ga3 0.499 0.997 0.834
Ga4 0.499 0.497 0.667
Pa1 0.999 0.497 0.998
Nd1 0.999 0.997 0.498
# E_form	-0.50	eV per atom
# crystal system	orthorhombic
# energy relative to the lowest polymorph listed for this composition	0	meV per atom
# raw total energy	-4.896	eV per atom
# space group	Pmmm, No. 47

=====

(3)
# PBE Na4Dy3ThS8, relaxed
data_Na4Dy3ThS8
_cell_length_a 7.995
_cell_length_b 8.145
_cell_length_c 7.994
_cell_angle_alpha 119.41
_cell_angle_beta 120.00
_cell_angle_gamma 90.00
_symmetry_space_group_name_H-M 'P 1'
_symmetry_Int_Tables_number 1
loop_
_symmetry_equiv_pos_as_xyz
'x,y,z'
loop_
_atom_site_label
_atom_site_fract_x
_atom_site_fract_y
_atom_site_fract_z
Dy1 0.500 0.500 0.000
Dy2 0.500 0.500 0.500
Dy3 0.000 0.500 0.500
Na1 0.000 0.000 0.500
Na2 0.000 0.000 0.000
Na3 0.500 0.000 0.500
Na4 0.500 0.000 0.000
S1 0.754 0.268 0.014
S2 0.741 0.732 0.986
S3 0.257 0.273 0.515
S4 0.743 0.727 0.485
S5 0.246 0.732 0.492
S6 0.754 0.268 0.508
S7 0.246 0.732 0.986
S8 0.259 0.268 0.014
Th1 0.000 0.500 0.000
# crystal system	trigonal
# raw total energy	-5.507	eV per atom
# formation energy (no corrections)	-1.79	eV/atom
# space group	R-3m, No. 166

=====

(4)
# PBE HfCo2SnSb, relaxed
data_HfCo2SnSb
_cell_length_a 4.620
_cell_length_b 5.382
_cell_length_c 4.620
_cell_angle_alpha 90.00
_cell_angle_beta 90.00
_cell_angle_gamma 90.00
_symmetry_space_group_name_H-M 'P 1'
_symmetry_Int_Tables_number 1
loop_
_symmetry_equiv_pos_as_xyz
'x,y,z'
loop_
_atom_site_label
_atom_site_fract_x
_atom_site_fract_y
_atom_site_fract_z
Co1 0.000 0.000 0.500
Co2 0.500 0.000 0.000
Hf1 0.000 0.500 0.000
Sn1 0.500 0.500 0.500
Sb1 0.000 0.000 0.000
# crystal system	tetragonal
# raw total energy	-5.665	eV per atom
# formation energy (no corrections)	0.79	eV/atom
# space group	P4/mmm, No. 123

=====

(5)
# PBE Sr2Tl7Pb2, relaxed
data_Sr2Tl7Pb2
_cell_length_a 4.783
_cell_length_b 9.281
_cell_length_c 9.286
_cell_angle_alpha 68.75
_cell_angle_beta 104.67
_cell_angle_gamma 104.57
_symmetry_space_group_name_H-M 'P 1'
_symmetry_Int_Tables_number 1
loop_
_symmetry_equiv_pos_as_xyz
'x,y,z'
loop_
_atom_site_label
_atom_site_fract_x
_atom_site_fract_y
_atom_site_fract_z
Tl1 0.375 0.375 0.375
Tl2 0.625 0.625 0.625
Tl3 0.848 0.105 0.589
Tl4 0.848 0.589 0.105
Tl5 0.000 0.000 0.000
Tl6 0.152 0.895 0.411
Tl7 0.152 0.411 0.895
Pb1 0.500 0.762 0.238
Pb2 0.500 0.238 0.762
Sr1 0.321 0.820 0.820
Sr2 0.679 0.180 0.180
# E_form	-0.16	eV per atom
# crystal system	triclinic
# energy relative to the lowest polymorph listed for this composition	0	meV per atom
# raw total energy	-2.644	eV per atom
# space group	P-1, No. 2

=====

(6)
# PBE Mn3Br2, relaxed
data_Mn3Br2
_cell_length_a 10.257
_cell_length_b 10.257
_cell_length_c 10.257
_cell_angle_alpha 18.96
_cell_angle_beta 18.96
_cell_angle_gamma 18.96
_symmetry_space_group_name_H-M 'P 1'
_symmetry_Int_Tables_number 1
loop_
_symmetry_equiv_pos_as_xyz
'x,y,z'
loop_
_atom_site_label
_atom_site_fract_x
_atom_site_fract_y
_atom_site_fract_z
Br1 0.606 0.606 0.606
Br2 0.394 0.394 0.394
Mn1 0.802 0.802 0.802
Mn2 0.198 0.198 0.198
Mn3 0.000 0.000 0.000
# crystal system	trigonal
# energy relative to the lowest polymorph listed for this composition	0	meV per atom
# raw total energy	-5.908	eV per atom
# formation energy (no corrections)	0.26	eV/atom
# space group	R-3m, No. 166

=====

(7)
# PBE InIr2Br, relaxed
data_InIr2Br
_cell_length_a 3.039
_cell_length_b 3.039
_cell_length_c 7.612
_cell_angle_alpha 90.00
_cell_angle_beta 90.00
_cell_angle_gamma 90.00
_symmetry_space_group_name_H-M 'P 1'
_symmetry_Int_Tables_number 1
loop_
_symmetry_equiv_pos_as_xyz
'x,y,z'
loop_
_atom_site_label
_atom_site_fract_x
_atom_site_fract_y
_atom_site_fract_z
Ir1 0.000 0.000 0.992
Ir2 0.000 0.000 0.508
In1 0.500 0.500 0.750
Br1 0.500 0.500 0.250
# crystal system	tetragonal
# energy relative to the lowest polymorph listed for this composition	392	meV per atom
# raw total energy	-4.849	eV per atom
# formation energy (no corrections)	0.68	eV/atom
# space group	P4/mmm, No. 123

=====

(8)
# PBE SrSi2P, relaxed
data_SrSi2P
_cell_length_a 5.272
_cell_length_b 5.272
_cell_length_c 5.272
_cell_angle_alpha 131.15
_cell_angle_beta 131.15
_cell_angle_gamma 71.57
_symmetry_space_group_name_H-M 'P 1'
_symmetry_Int_Tables_number 1
loop_
_symmetry_equiv_pos_as_xyz
'x,y,z'
loop_
_atom_site_label
_atom_site_fract_x
_atom_site_fract_y
_atom_site_fract_z
Sr1 0.500 0.500 0.000
Si1 0.000 0.000 0.000
Si2 0.250 0.750 0.500
P1 0.750 0.250 0.500
# crystal system	tetragonal
# raw total energy	-4.283	eV per atom
# formation energy (no corrections)	0.20	eV/atom
# space group	I-4m2, No. 119

=====

(9)
# PBE Ac3GeTe6, relaxed
data_Ac3GeTe6
_cell_length_a 7.835
_cell_length_b 10.238
_cell_length_c 10.238
_cell_angle_alpha 102.32
_cell_angle_beta 90.00
_cell_angle_gamma 90.00
_symmetry_space_group_name_H-M 'P 1'
_symmetry_Int_Tables_number 1
loop_
_symmetry_equiv_pos_as_xyz
'x,y,z'
loop_
_atom_site_label
_atom_site_fract_x
_atom_site_fract_y
_atom_site_fract_z
Te1 0.695 0.571 0.093
Te2 0.695 0.907 0.429
Te3 0.686 0.310 0.368
Te4 0.174 0.035 0.965
Te5 0.186 0.690 0.632
Te6 0.186 0.368 0.310
Te7 0.195 0.093 0.571
Te8 0.168 0.780 0.220
Te9 0.686 0.632 0.690
Te10 0.195 0.429 0.907
Te11 0.668 0.220 0.780
Te12 0.674 0.965 0.035
Ac1 0.981 0.084 0.282
Ac2 0.481 0.282 0.084
Ac3 0.390 0.398 0.602
Ac4 0.981 0.718 0.916
Ac5 0.481 0.916 0.718
Ac6 0.890 0.602 0.398
Ge1 0.028 0.196 0.804
Ge2 0.528 0.804 0.196
# crystal system	orthorhombic
# raw total energy	-4.750	eV per atom
# formation energy (no corrections)	-1.17	eV/atom
# space group	Cmc2_1, No. 36

=====

(10)
# PBE KGaAs2, relaxed
data_KGaAs2
_cell_length_a 5.512
_cell_length_b 5.512
_cell_length_c 9.084
_cell_angle_alpha 72.34
_cell_angle_beta 72.34
_cell_angle_gamma 90.00
_symmetry_space_group_name_H-M 'P 1'
_symmetry_Int_Tables_number 1
loop_
_symmetry_equiv_pos_as_xyz
'x,y,z'
loop_
_atom_site_label
_atom_site_fract_x
_atom_site_fract_y
_atom_site_fract_z
As1 0.375 0.200 0.750
As2 0.875 0.050 0.750
As3 0.950 0.625 0.250
As4 0.800 0.125 0.250
Ga1 0.000 0.000 0.000
Ga2 0.750 0.250 0.500
K1 0.250 0.750 0.500
K2 0.500 0.500 0.000
# E_form	-0.14	eV per atom
# crystal system	tetragonal
# raw total energy	-3.492	eV per atom
# space group	I-42d, No. 122

=====

(11)
# PBE Co2OsPt, relaxed
data_Co2OsPt
_cell_length_a 4.239
_cell_length_b 4.239
_cell_length_c 4.239
_cell_angle_alpha 60.00
_cell_angle_beta 60.00
_cell_angle_gamma 60.00
_symmetry_space_group_name_H-M 'P 1'
_symmetry_Int_Tables_number 1
loop_
_symmetry_equiv_pos_as_xyz
'x,y,z'
loop_
_atom_site_label
_atom_site_fract_x
_atom_site_fract_y
_atom_site_fract_z
Co1 0.250 0.250 0.250
Co2 0.000 0.000 0.000
Pt1 0.750 0.750 0.750
Os1 0.500 0.500 0.500
# E_form	0.42	eV per atom
# crystal system	cubic
# raw total energy	-7.452	eV per atom
# space group	F-43m, No. 216

=====

(12)
# PBE Ti3Nb2Zn, relaxed
data_Ti3Nb2Zn
_cell_length_a 3.402
_cell_length_b 4.543
_cell_length_c 6.945
_cell_angle_alpha 109.09
_cell_angle_beta 90.00
_cell_angle_gamma 90.00
_symmetry_space_group_name_H-M 'P 1'
_symmetry_Int_Tables_number 1
loop_
_symmetry_equiv_pos_as_xyz
'x,y,z'
loop_
_atom_site_label
_atom_site_fract_x
_atom_site_fract_y
_atom_site_fract_z
Ti1 0.500 0.500 0.000
Ti2 0.500 0.171 0.342
Ti3 0.500 0.829 0.658
Nb1 0.000 0.660 0.320
Nb2 0.000 0.340 0.680
Zn1 0.000 0.000 0.000
# E_form	-0.03	eV per atom
# crystal system	orthorhombic
# raw total energy	-7.550	eV per atom
# space group	Cmmm, No. 65